[1]
Below is Cs2KI2 after structural relaxation, with properties calculated at the GGA-PBE level.

Output
N(E_F)   3.6 states/eV/f.u.
Volume   387.2 Å³/f.u.
Polymorph energy (0 for the lowest one)   127 meV per atom
Crystal system   tetragonal
SG   I4/mmm
E_form (uncorrected)   -5.12 eV/f.u.
Total magnetic moment   0.0 Bohr magnetons per cell

abc: 7.1062 7.1062 9.1666
angles: 67.19 67.19 90.00
Last column: nearest neighbours and their distance in Å.
Element x y z (fractional)
I: 0.7500 0.2500 0.5000  4 Cs 3.76
I: 0.2500 0.7500 0.5000  4 Cs 3.76
K: 0.0000 0.0000 0.0000  10 Cs 5.06-5.66, 8 I 5.23
Cs: 0.6699 0.6699 0.6603  4 I 3.76
Cs: 0.3301 0.3301 0.3397  4 I 3.76



[2]
Below is Cs2KI after structural relaxation, with properties calculated at the GGA-PBE level.

Output
N(E_F)   2.3 states/eV/f.u.
Volume   352.6 Å³/f.u.
Polymorph energy (0 for the lowest one)   82 meV per atom
Crystal system   tetragonal
SG   I-42d
E_form (uncorrected)   -2.58 eV/f.u.
Total magnetic moment   0.0 Bohr magnetons per cell

abc: 11.4805 11.4805 9.7226
angles: 53.81 53.81 90.00
Last column: nearest neighbours and their distance in Å.
Element x y z (fractional)
I: 0.7500 0.2500 0.5000  4 Cs 3.75
I: 0.0000 0.0000 0.0000  4 Cs 3.75
Cs: 0.7005 0.1250 0.2500  2 I 3.75
Cs: 0.3750 0.2995 0.7500  2 I 3.75
Cs: 0.8750 0.9505 0.7500  2 I 3.75
Cs: 0.0495 0.6250 0.2500  2 I 3.75
K: 0.5000 0.5000 0.0000  8 Cs 4.90-5.32, 2 I 5.35
K: 0.2500 0.7500 0.5000  8 Cs 4.90-5.32, 2 I 5.35



[3]
Below is Cs2KI after structural relaxation, with properties calculated at the GGA-PBE level.

Output
N(E_F)   1.1 states/eV/f.u.
Volume   273.2 Å³/f.u.
Polymorph energy (0 for the lowest one)   126 meV per atom
Crystal system   tetragonal
SG   P4/mmm
E_form (uncorrected)   -2.41 eV/f.u.
Total magnetic moment   0.0 Bohr magnetons per cell

abc: 5.3153 7.1688 7.1688
angles: 90.00 90.00 90.00
Last column: nearest neighbours and their distance in Å.
Element x y z (fractional)
Cs: 0.0000 0.5000 0.0000  4 K 4.46, 4 I 4.46
Cs: 0.0000 0.0000 0.5000  4 K 4.46, 4 I 4.46
I: 0.5000 0.0000 0.0000  8 Cs 4.46
K: 0.5000 0.5000 0.5000  8 Cs 4.46



[4]
Below is CsK2I5 after structural relaxation, with properties calculated at the GGA-PBE level.

Output
Volume   399.3 Å³/f.u.
Crystal system   orthorhombic
SG   Cmcm
E_form (uncorrected)   -8.76 eV/f.u.
Total magnetic moment   0.0 Bohr magnetons per cell

abc: 6.7914 6.7579 20.1279
angles: 90.00 90.00 120.16
Last column: nearest neighbours and their distance in Å.
Element x y z (fractional)
I: 0.8440 0.6880 0.2500  2 K 3.43
I: 0.6069 0.2138 0.9622  2 I 2.93-3.26
I: 0.3931 0.7862 0.4622  2 I 2.93-3.26
I: 0.1460 0.2920 0.3875  1 I 3.26
I: 0.3931 0.7862 0.0378  2 I 2.93-3.26
I: 0.8540 0.7080 0.6125  1 I 3.26
I: 0.1560 0.3120 0.7500  2 K 3.43
I: 0.6069 0.2138 0.5378  2 I 2.93-3.26
I: 0.1460 0.2920 0.1125  1 I 3.26
I: 0.8540 0.7080 0.8875  1 I 3.26
Cs: 0.5125 0.0251 0.2500  3 I 3.87-3.93
Cs: 0.4875 0.9749 0.7500  3 I 3.87-3.93
K: 0.8375 0.6750 0.4205  5 I 3.43-3.67
K: 0.8375 0.6750 0.0795  5 I 3.43-3.67
K: 0.1625 0.3250 0.5795  5 I 3.43-3.67
K: 0.1625 0.3250 0.9205  5 I 3.43-3.67



[5]
Below is Cs2K2I after structural relaxation, with properties calculated at the GGA-PBE level.

Output
N(E_F)   4.8 states/eV/f.u.
Volume   396.4 Å³/f.u.
Crystal system   tetragonal
SG   P4/mbm
E_form (uncorrected)   -2.25 eV/f.u.
Total magnetic moment   0.0 Bohr magnetons per cell

abc: 9.7312 9.7312 8.3720
angles: 90.00 90.00 90.00
Last column: nearest neighbours and their distance in Å.
Element x y z (fractional)
K: 0.1660 0.3340 0.0000  2 I 3.63
K: 0.8340 0.6660 0.0000  2 I 3.63
K: 0.6660 0.1660 0.0000  2 I 3.63
K: 0.3340 0.8340 0.0000  2 I 3.63
Cs: 0.1761 0.6761 0.5000  2 K 4.72, 5 Cs 4.85-5.07
Cs: 0.8239 0.3239 0.5000  2 K 4.72, 5 Cs 4.85-5.07
Cs: 0.3239 0.1761 0.5000  2 K 4.72, 5 Cs 4.85-5.07
Cs: 0.6761 0.8239 0.5000  2 K 4.72, 5 Cs 4.85-5.07
I: 0.5000 0.5000 0.0000  4 K 3.63
I: 0.0000 0.0000 0.0000  4 K 3.63



[6]
Below is Cs4KI5 after structural relaxation, with properties calculated at the GGA-PBE level.

Output
N(E_F)   0.0 states/eV/f.u.
Volume   577.3 Å³/f.u.
Crystal system   tetragonal
SG   I4/mmm
E_form (uncorrected)   -15.27 eV/f.u.
Total magnetic moment   0.0 Bohr magnetons per cell

abc: 5.4774 5.4774 19.6283
angles: 98.02 98.02 90.00
Last column: nearest neighbours and their distance in Å.
Element x y z (fractional)
I: 0.5000 0.5000 0.0000  2 Cs 3.80, 4 K 3.87
I: 0.0942 0.0942 0.1884  1 K 3.62, 5 Cs 3.88-4.01
I: 0.9058 0.9058 0.8116  1 K 3.62, 5 Cs 3.88-4.01
I: 0.3004 0.3004 0.6008  6 Cs 3.87-3.92
I: 0.6996 0.6996 0.3992  6 Cs 3.87-3.92
K: 0.0000 0.0000 0.0000  6 I 3.62-3.87
Cs: 0.1985 0.1985 0.3970  6 I 3.87-4.01
Cs: 0.8015 0.8015 0.6030  6 I 3.87-4.01
Cs: 0.4013 0.4013 0.8025  6 I 3.80-3.88
Cs: 0.5987 0.5987 0.1975  6 I 3.80-3.88



How do the records compare in electronic total energy? In the order shown, they have -2.204, -1.735, -1.691, -2.445, -1.541, -2.753 eV/atom.